Entry 1:
Material: Zn2CuAs
Method: DFT, GGA-PBE
State: relaxed

It has space group Pm (No. 6), with a = 3.0511 Å, b = 4.3402 Å, c = 5.1521 Å, α = 90.00°, β = 106.83° and γ = 90.00°. Symmetry generates all atoms from Zn at (0.0000, 0.0000, 0.0000), Zn at (0.4350, 0.5000, 0.8662), Cu at (0.1427, 0.5000, 0.2870) and As at (0.2707, 0.0000, 0.5385).

The calculation puts the volume at 65.30 Å³/cell. The calculation puts the density of states at the Fermi level at 0.72 states/eV per cell. As for the total DFT energy (no corrections): -2.750 eV/atom.



Entry 2:
Material: ZrAg2Pd
Method: DFT, GGA-PBE
State: relaxed

It has space group Fm-3m (No. 225), with a = 6.6265 Å, b = 6.6265 Å, c = 6.6265 Å, α = 90.00°, β = 90.00° and γ = 90.00°. Symmetry generates all atoms from Zr at (0.0000, 0.0000, 0.0000), Ag at (0.2500, 0.2500, 0.2500) and Pd at (0.0000, 0.0000, 0.5000).

The calculation puts the volume at 290.98 Å³/cell. The calculation puts the density of states at the Fermi level at 16.03 states/eV per cell. For the energy above the most stable polymorph in this dataset, the calculation gives 0.000 eV/atom.



Entry 3:
Material: LiIn8
Method: DFT, GGA-PBE
State: relaxed

It has space group I4/mmm (No. 139), with a = 11.2998 Å, b = 11.2998 Å, c = 3.6868 Å, α = 90.00°, β = 90.00° and γ = 90.00°. Symmetry generates all atoms from Li at (0.0000, 0.0000, 0.0000), In at (0.0000, 0.3325, 0.0000) and In at (0.1620, 0.1620, 0.5000).

The calculation puts the volume at 470.75 Å³/cell. The calculation puts the density of states at the Fermi level at 9.91 states/eV per cell. For the energy above the most stable polymorph in this dataset, the calculation gives 0.024 eV/atom.